VASP calculation (PBE with a Hubbard U) on an optimized crystal structure of Mn2CrInO.

a b c (Å): 5.380 3.546 5.380
angles (deg): 90.00 90.00 90.00
Last column: magnetic moment on the atom in μB.
Element x y z (fractional)
Cr  0.000  0.000  0.000  3.14
Mn  0.000  0.000  0.500  4.50
Mn  0.500  0.000  0.000  4.59
O  0.000  0.500  0.000  -0.17
In  0.500  0.500  0.500  -0.10

magnetization: 12.53 μB per formula unit
raw total energy: -5.68 eV/atom
crystal system: tetragonal